Density functional theory data (PBE) for an optimized crystal structure of CaLa2ScFe.

Unit cell a=5.378 b=5.378 c=5.262 alpha=90.00 beta=90.00 gamma=90.00
Positions (direct):
Ca 0.000 0.000 0.000
La 0.000 0.500 0.500
La 0.500 0.000 0.500
Sc 0.500 0.500 0.000
Fe 0.500 0.500 0.500

Properties
Energy of formation: 0.06 eV/atom
Crystal system: tetragonal
V: 30.438 Å³ per atom



Density functional theory data (PBE) for an optimized crystal structure of SrCaLa2Fe.

Unit cell a=5.351 b=5.351 c=6.051 alpha=90.00 beta=90.00 gamma=90.00
Positions (direct):
Sr 0.000 0.000 0.000
Ca 0.500 0.500 0.000
La 0.000 0.500 0.500
La 0.500 0.000 0.500
Fe 0.500 0.500 0.500

Properties
Energy of formation: 0.10 eV/atom
Crystal system: tetragonal
V: 34.646 Å³ per atom



Density functional theory data (PBE) for an optimized crystal structure of SrCa2LaFe.

Unit cell a=5.884 b=5.884 c=5.257 alpha=90.00 beta=90.00 gamma=90.00
Positions (direct):
Sr 0.000 0.000 0.000
Ca 0.000 0.500 0.500
Ca 0.500 0.000 0.500
La 0.500 0.500 0.000
Fe 0.500 0.500 0.500

Properties
Energy of formation: 0.18 eV/atom
Crystal system: tetragonal
V: 36.395 Å³ per atom